Entry 1:
A relaxed structure of CaLa. Source: Alexandria via LeMat-Bulk, functional PBE.

Computed properties:
For the relative energy among the computed polymorphs, the calculation gives 0.029 eV/atom. The formation energy comes out at 0.0504 eV/atom.

Structure (POSCAR):
```
CaLa
1.0
3.785 0.000 0.000
0.000 6.051 0.000
0.000 0.000 6.772
Ca La
2 2
Direct
0.000 0.000 0.004
0.500 0.500 0.829
0.000 0.500 0.343
0.500 0.000 0.490
```

Entry 2:
A relaxed structure of CaLa2. Source: Alexandria via LeMat-Bulk, functional PBE.

Computed properties:
For the relative energy among the computed polymorphs, the calculation gives 0.028 eV/atom. The formation energy comes out at 0.0551 eV/atom.

Structure (POSCAR):
```
CaLa2
1.0
-5.981 3.240 -2.643
-7.268 0.460 -0.467
-2.190 6.019 6.393
La Ca
4 2
Direct
0.852 0.852 0.528
0.204 0.204 0.858
0.796 0.796 0.142
0.148 0.148 0.472
0.475 0.475 0.805
0.525 0.525 0.195
```

Entry 3:
A relaxed structure of CaLa5. Source: Alexandria via LeMat-Bulk, functional PBE.

Computed properties:
For the relative energy among the computed polymorphs, the calculation gives 0.000 eV/atom. The formation energy comes out at 0.0196 eV/atom.

Structure (POSCAR):
```
CaLa5
1.0
3.749 0.000 0.000
0.000 3.749 0.000
0.000 0.000 16.068
La Ca
5 1
Direct
0.500 0.500 0.666
0.000 0.000 0.500
0.500 0.500 0.334
0.000 0.000 0.179
0.000 0.000 0.821
0.500 0.500 0.000
```

Entry 4:
A relaxed structure of CaLa2. Source: Alexandria via LeMat-Bulk, functional PBE.

Computed properties:
For the relative energy among the computed polymorphs, the calculation gives 0.021 eV/atom. The formation energy comes out at 0.0480 eV/atom.

Structure (POSCAR):
```
CaLa2
1.0
10.295 -0.028 0.000
-9.606 3.703 0.000
0.000 0.000 6.169
La Ca
4 2
Direct
0.328 0.672 0.000
0.775 0.225 0.500
0.670 0.330 0.000
0.116 0.884 0.500
0.441 0.559 0.500
0.003 0.997 0.000
```